1.
# GdInRu2 PBE relaxed
# * formation energy: -139 meV per atom
data_GdInRu2
_cell_length_a 4.621
_cell_length_b 4.621
_cell_length_c 3.442
_cell_angle_alpha 90.00
_cell_angle_beta 90.00
_cell_angle_gamma 90.00
_space_group_name_H-M_alt 'P 4/m m m'
_space_group_IT_number 123
_space_group_name_Hall '-P 4 2'
loop_
_atom_site_label
_atom_site_type_symbol
_atom_site_fract_x
_atom_site_fract_y
_atom_site_fract_z
_atom_site_occupancy
Gd1 Gd 0.000 0.000 0.000 1
In1 In 0.500 0.500 0.000 1
Ru1 Ru 0.000 0.500 0.500 1

***

2.
# GdInRu4 PBE relaxed
# * formation energy: -30 meV per atom
data_GdInRu4
_cell_length_a 7.480
_cell_length_b 7.480
_cell_length_c 7.480
_cell_angle_alpha 90.00
_cell_angle_beta 90.00
_cell_angle_gamma 90.00
_space_group_name_H-M_alt 'F -4 3 m'
_space_group_IT_number 216
_space_group_name_Hall 'F -4 2 3'
loop_
_atom_site_label
_atom_site_type_symbol
_atom_site_fract_x
_atom_site_fract_y
_atom_site_fract_z
_atom_site_occupancy
Gd1 Gd 0.000 0.000 0.000 1
In1 In 0.250 0.250 0.750 1
Ru1 Ru 0.124 0.124 0.376 1

***

3.
# GdIn2Ru PBE relaxed
# * energy above the lowest structure with this stoichiometry: 0.000 eV per atom
# * formation energy: -204 meV per atom
data_GdIn2Ru
_cell_length_a 3.354
_cell_length_b 3.354
_cell_length_c 7.635
_cell_angle_alpha 90.00
_cell_angle_beta 90.00
_cell_angle_gamma 90.00
_space_group_name_H-M_alt 'P 4/m m m'
_space_group_IT_number 123
_space_group_name_Hall '-P 4 2'
loop_
_atom_site_label
_atom_site_type_symbol
_atom_site_fract_x
_atom_site_fract_y
_atom_site_fract_z
_atom_site_occupancy
Gd1 Gd 0.000 0.000 0.000 1
In1 In 0.500 0.500 0.299 1
Ru1 Ru 0.000 0.000 0.500 1

***

4.
# GdIn2Ru PBE relaxed
# * energy above the lowest structure with this stoichiometry: 0.038 eV per atom
# * formation energy: -166 meV per atom
data_GdIn2Ru
_cell_length_a 6.937
_cell_length_b 6.937
_cell_length_c 6.937
_cell_angle_alpha 90.00
_cell_angle_beta 90.00
_cell_angle_gamma 90.00
_space_group_name_H-M_alt 'F m -3 m'
_space_group_IT_number 225
_space_group_name_Hall '-F 4 2 3'
loop_
_atom_site_label
_atom_site_type_symbol
_atom_site_fract_x
_atom_site_fract_y
_atom_site_fract_z
_atom_site_occupancy
Gd1 Gd 0.000 0.000 0.000 1
In1 In 0.250 0.250 0.250 1
Ru1 Ru 0.000 0.000 0.500 1

***

5.
# TbGdInRu PBE relaxed
# * formation energy: -309 meV per atom
data_TbGdInRu
_cell_length_a 7.206
_cell_length_b 7.206
_cell_length_c 7.206
_cell_angle_alpha 90.00
_cell_angle_beta 90.00
_cell_angle_gamma 90.00
_space_group_name_H-M_alt 'F -4 3 m'
_space_group_IT_number 216
_space_group_name_Hall 'F -4 2 3'
loop_
_atom_site_label
_atom_site_type_symbol
_atom_site_fract_x
_atom_site_fract_y
_atom_site_fract_z
_atom_site_occupancy
Tb1 Tb 0.000 0.000 0.000 1
Gd1 Gd 0.000 0.000 0.500 1
In1 In 0.250 0.250 0.750 1
Ru1 Ru 0.250 0.250 0.250 1

***

6.
# GdYInRu PBE relaxed
# * formation energy: -318 meV per atom
data_GdYInRu
_cell_length_a 7.199
_cell_length_b 7.199
_cell_length_c 7.199
_cell_angle_alpha 90.00
_cell_angle_beta 90.00
_cell_angle_gamma 90.00
_space_group_name_H-M_alt 'F -4 3 m'
_space_group_IT_number 216
_space_group_name_Hall 'F -4 2 3'
loop_
_atom_site_label
_atom_site_type_symbol
_atom_site_fract_x
_atom_site_fract_y
_atom_site_fract_z
_atom_site_occupancy
Gd1 Gd 0.000 0.000 0.000 1
Y1 Y 0.000 0.000 0.500 1
In1 In 0.250 0.250 0.250 1
Ru1 Ru 0.250 0.250 0.750 1

***

7.
# GdZnInRu PBE relaxed
# * formation energy: -139 meV per atom
data_GdZnInRu
_cell_length_a 6.782
_cell_length_b 6.782
_cell_length_c 6.782
_cell_angle_alpha 90.00
_cell_angle_beta 90.00
_cell_angle_gamma 90.00
_space_group_name_H-M_alt 'F -4 3 m'
_space_group_IT_number 216
_space_group_name_Hall 'F -4 2 3'
loop_
_atom_site_label
_atom_site_type_symbol
_atom_site_fract_x
_atom_site_fract_y
_atom_site_fract_z
_atom_site_occupancy
Gd1 Gd 0.000 0.000 0.000 1
Zn1 Zn 0.250 0.250 0.750 1
In1 In 0.000 0.000 0.500 1
Ru1 Ru 0.250 0.250 0.250 1

***

8.
# Gd3InS PBE relaxed
# * uncorrected formation energy: -0.89 eV/atom
data_Gd3InS
_cell_length_a 5.232
_cell_length_b 5.232
_cell_length_c 5.232
_cell_angle_alpha 90.00
_cell_angle_beta 90.00
_cell_angle_gamma 90.00
_space_group_name_H-M_alt 'P m -3 m'
_space_group_IT_number 221
_space_group_name_Hall '-P 4 2 3'
loop_
_atom_site_label
_atom_site_type_symbol
_atom_site_fract_x
_atom_site_fract_y
_atom_site_fract_z
_atom_site_occupancy
Gd1 Gd 0.000 0.000 0.500 1
In1 In 0.500 0.500 0.500 1
S1 S 0.000 0.000 0.000 1

***

9.
# GdIn2S PBE relaxed
# * uncorrected formation energy: -0.13 eV/atom
data_GdIn2S
_cell_length_a 3.6420
_cell_length_b 3.6420
_cell_length_c 30.0429
_cell_angle_alpha 90.00
_cell_angle_beta 90.00
_cell_angle_gamma 120.00
_space_group_name_H-M_alt 'R -3 m'
_space_group_IT_number 166
_space_group_name_Hall '-R 3 2"'
loop_
_atom_site_label
_atom_site_type_symbol
_atom_site_fract_x
_atom_site_fract_y
_atom_site_fract_z
_atom_site_occupancy
Gd1 Gd 0.0000 0.0000 0.0000 1
In1 In 0.0000 0.0000 0.1059 1
S1 S 0.0000 0.0000 0.5000 1

***

10.
# GdInSb2 PBE relaxed
# * energy above the lowest structure with this stoichiometry: 0.020 eV per atom
# * uncorrected formation energy: -0.50 eV/atom
data_GdInSb2
_cell_length_a 5.008
_cell_length_b 5.008
_cell_length_c 4.263
_cell_angle_alpha 90.00
_cell_angle_beta 90.00
_cell_angle_gamma 90.00
_space_group_name_H-M_alt 'P 4/m m m'
_space_group_IT_number 123
_space_group_name_Hall '-P 4 2'
loop_
_atom_site_label
_atom_site_type_symbol
_atom_site_fract_x
_atom_site_fract_y
_atom_site_fract_z
_atom_site_occupancy
Gd1 Gd 0.000 0.000 0.000 1
In1 In 0.500 0.500 0.000 1
Sb1 Sb 0.000 0.500 0.500 1